Material: K4Pu3ZnSe8
Method: DFT, PBE-GGA
State: relaxed

Cell and atoms, written as CIF:
```
data_K4Pu3ZnSe8
_chemical_formula_sum 'K8 Pu6 Zn2 Se16'
_space_group_name_H-M_alt 'C 1 2/m 1'
_space_group_IT_number 12
_cell_length_a 14.7969
_cell_length_b 8.4064
_cell_length_c 9.0426
_cell_angle_alpha 90.00
_cell_angle_beta 122.70
_cell_angle_gamma 90.00
loop_
_space_group_symop_operation_xyz
'x,y,z'
'-x,-y,-z'
'-x,y,-z'
'x,-y,z'
'x+1/2,y+1/2,z'
'-x+1/2,-y+1/2,-z'
'-x+1/2,y+1/2,-z'
'x+1/2,-y+1/2,z'
loop_
_atom_site_label
_atom_site_type_symbol
_atom_site_fract_x
_atom_site_fract_y
_atom_site_fract_z
K1 K 0.0000 0.0000 0.0000
K2 K 0.0000 0.5000 0.0000
K3 K 0.2500 0.2500 0.0000
Pu1 Pu 0.0000 0.0000 0.5000
Pu2 Pu 0.2500 0.2500 0.5000
Zn1 Zn 0.0000 0.5000 0.5000
Se1 Se 0.0152 0.2625 0.3055
Se2 Se 0.2354 0.0000 0.7062
Se3 Se 0.2394 0.5000 0.7053
```

E_form (uncorrected)	-1.24	eV/atom
total magnetic moment	9.20	μB per cell